[1]
Computed, not measured: a geometry-optimized LiNd2P3Pd4 structure at the PBE-GGA level of DFT.

Calculated values
**DFT formation energy**: -963 meV/atom
**E_tot**: -58.08 eV/f.u.
**Calculated volume**: 174.4 Å³/cell

a = 4.200 Å, b = 4.200 Å, c = 9.883 Å
α = 90.00°, β = 90.00°, γ = 90.00°
Space group P-4m2 (No. 115)
One atom of each set of equivalent atoms:
Li (0.000, 0.000, 0.000) [1 per cell]
Nd (0.000, 0.500, 0.744) [2 per cell]
P (0.000, 0.500, 0.360) [2 per cell]
P (0.500, 0.500, 0.000) [1 per cell]
Pd (0.000, 0.000, 0.500) [1 per cell]
Pd (0.000, 0.500, 0.120) [2 per cell]
Pd (0.500, 0.500, 0.500) [1 per cell]



[2]
Computed, not measured: a geometry-optimized Li2PmNdP2 structure at the PBE-GGA level of DFT.

Calculated values
**DFT formation energy**: -1011 meV/atom
**E_tot**: -30.23 eV/f.u.
**Calculated volume**: 116.6 Å³/cell

a = 4.1609 Å, b = 4.1609 Å, c = 7.7760 Å
α = 90.00°, β = 90.00°, γ = 120.00°
Space group P-3m1 (No. 164)
One atom of each set of equivalent atoms:
Li (0.3333, 0.6667, 0.2486) [2 per cell]
Pm (0.0000, 0.0000, 0.0000) [1 per cell]
Nd (0.0000, 0.0000, 0.5000) [1 per cell]
P (0.3333, 0.6667, 0.7533) [2 per cell]



[3]
Computed, not measured: a geometry-optimized LiNd2PPt6 structure at the PBE-GGA level of DFT.

Calculated values
**DFT formation energy**: -851 meV/atom
**E_tot**: -61.61 eV/f.u.
**Calculated volume**: 389.1 Å³/cell

a = 5.598 Å, b = 8.694 Å, c = 7.996 Å
α = 90.00°, β = 90.00°, γ = 90.00°
Space group Pmmn (No. 59, origin choice 2)
One atom of each set of equivalent atoms:
Li (0.250, 0.250, 0.217) [2 per cell]
Nd (0.250, 0.522, 0.775) [4 per cell]
P (0.250, 0.750, 0.270) [2 per cell]
Pt (0.007, 0.250, 0.488) [4 per cell]
Pt (0.009, 0.250, 0.955) [4 per cell]
Pt (0.250, 0.000, 0.385) [4 per cell]



[4]
Computed, not measured: a geometry-optimized LiNd2P3Rh4 structure at the PBE-GGA level of DFT.

Calculated values
**DFT formation energy**: -1049 meV/atom
**E_tot**: -67.58 eV/f.u.
**Calculated volume**: 164.9 Å³/cell

a = 4.085 Å, b = 4.085 Å, c = 9.881 Å
α = 90.00°, β = 90.00°, γ = 90.00°
Space group P-4m2 (No. 115)
One atom of each set of equivalent atoms:
Li (0.000, 0.000, 0.000) [1 per cell]
Nd (0.000, 0.500, 0.754) [2 per cell]
P (0.000, 0.500, 0.362) [2 per cell]
P (0.500, 0.500, 0.000) [1 per cell]
Rh (0.000, 0.000, 0.500) [1 per cell]
Rh (0.000, 0.500, 0.127) [2 per cell]
Rh (0.500, 0.500, 0.500) [1 per cell]



[5]
Computed, not measured: a geometry-optimized LiNdP2Rh5 structure at the PBE-GGA level of DFT.

Calculated values
**DFT formation energy**: -667 meV/atom
**E_tot**: -60.26 eV/f.u.
**Calculated volume**: 144.6 Å³/cell

a = 4.087 Å, b = 4.087 Å, c = 8.659 Å
α = 90.00°, β = 90.00°, γ = 90.00°
Space group P4/mmm (No. 123)
One atom of each set of equivalent atoms:
Li (0.000, 0.000, 0.000) [1 per cell]
Nd (0.000, 0.000, 0.500) [1 per cell]
P (0.500, 0.500, 0.130) [2 per cell]
Rh (0.000, 0.500, 0.247) [4 per cell]
Rh (0.500, 0.500, 0.500) [1 per cell]



[6]
Computed, not measured: a geometry-optimized SrLi2NdP2 structure at the PBE-GGA level of DFT.

Calculated values
**DFT formation energy**: -973 meV/atom
**E_tot**: -26.94 eV/f.u.
**Calculated volume**: 125.6 Å³/cell

a = 4.2605 Å, b = 4.2605 Å, c = 7.9917 Å
α = 90.00°, β = 90.00°, γ = 120.00°
Space group P-3m1 (No. 164)
One atom of each set of equivalent atoms:
Sr (0.0000, 0.0000, 0.0000) [1 per cell]
Li (0.3333, 0.6667, 0.7399) [2 per cell]
Nd (0.0000, 0.0000, 0.5000) [1 per cell]
P (0.3333, 0.6667, 0.2639) [2 per cell]



[7]
Computed, not measured: a geometry-optimized LiNd2Pa structure at the PBE-GGA level of DFT.

Calculated values
**DFT formation energy**: 150 meV/atom
**Polymorph energy (0 for the lowest one)**: 0.000 eV per atom
**E_tot**: -20.35 eV/f.u.
**Calculated volume**: 113.8 Å³/cell

a = 3.457 Å, b = 3.457 Å, c = 9.529 Å
α = 90.00°, β = 90.00°, γ = 90.00°
Space group P4/mmm (No. 123)
One atom of each set of equivalent atoms:
Li (0.000, 0.000, 0.000) [1 per cell]
Nd (0.500, 0.500, 0.249) [2 per cell]
Pa (0.000, 0.000, 0.500) [1 per cell]



[8]
Computed, not measured: a geometry-optimized LiNd2Pa structure at the PBE-GGA level of DFT.

Calculated values
**DFT formation energy**: 276 meV/atom
**Polymorph energy (0 for the lowest one)**: 0.126 eV per atom
**E_tot**: -19.84 eV/f.u.
**Calculated volume**: 112.9 Å³/cell

a = 5.750 Å, b = 5.750 Å, c = 3.414 Å
α = 90.00°, β = 90.00°, γ = 90.00°
Space group P4/mmm (No. 123)
One atom of each set of equivalent atoms:
Li (0.000, 0.000, 0.000) [1 per cell]
Nd (0.000, 0.500, 0.500) [2 per cell]
Pa (0.500, 0.500, 0.000) [1 per cell]



[9]
Computed, not measured: a geometry-optimized LiNdPa structure at the PBE-GGA level of DFT.

Calculated values
**DFT formation energy**: 451 meV/atom
**E_tot**: -14.83 eV/f.u.
**Calculated volume**: 338.7 Å³/cell

a = 12.606 Å, b = 3.132 Å, c = 8.709 Å
α = 90.00°, β = 99.90°, γ = 90.00°
Space group C2/m (No. 12)
One atom of each set of equivalent atoms:
Li (0.115, 0.000, 0.001) [4 per cell]
Nd (0.229, 0.000, 0.693) [4 per cell]
Pa (0.035, 0.000, 0.367) [4 per cell]



[10]
Computed, not measured: a geometry-optimized LiNdPaRe structure at the PBE-GGA level of DFT.

Calculated values
**DFT formation energy**: 234 meV/atom
**E_tot**: -27.69 eV/f.u.
**Calculated volume**: 350.5 Å³/cell

a = 7.051 Å, b = 7.051 Å, c = 7.051 Å
α = 90.00°, β = 90.00°, γ = 90.00°
Space group F-43m (No. 216)
One atom of each set of equivalent atoms:
Li (0.000, 0.000, 0.000) [4 per cell]
Nd (0.250, 0.250, 0.750) [4 per cell]
Pa (0.250, 0.250, 0.250) [4 per cell]
Re (0.000, 0.000, 0.500) [4 per cell]



[11]
Computed, not measured: a geometry-optimized LiNdPaRu structure at the PBE-GGA level of DFT.

Calculated values
**DFT formation energy**: 43 meV/atom
**E_tot**: -25.28 eV/f.u.
**Calculated volume**: 345.6 Å³/cell

a = 7.018 Å, b = 7.018 Å, c = 7.018 Å
α = 90.00°, β = 90.00°, γ = 90.00°
Space group F-43m (No. 216)
One atom of each set of equivalent atoms:
Li (0.000, 0.000, 0.000) [4 per cell]
Nd (0.250, 0.250, 0.750) [4 per cell]
Pa (0.250, 0.250, 0.250) [4 per cell]
Ru (0.000, 0.000, 0.500) [4 per cell]



[12]
Computed, not measured: a geometry-optimized LiNdPa2S4 structure at the PBE-GGA level of DFT.

Calculated values
**E_tot**: -55.17 eV/f.u.
**Calculated volume**: 170.6 Å³/cell
**Energy relative to the elements, uncorrected**: -13.0 eV per formula unit

a = 6.678 Å, b = 3.870 Å, c = 6.970 Å
α = 90.00°, β = 108.71°, γ = 90.00°
Space group P2/m (No. 10)
One atom of each set of equivalent atoms:
Li (0.000, 0.000, 0.000) [1 per cell]
Nd (0.500, 0.500, 0.000) [1 per cell]
Pa (0.000, 0.500, 0.500) [1 per cell]
Pa (0.500, 0.000, 0.500) [1 per cell]
S (0.236, 0.000, 0.749) [2 per cell]
S (0.237, 0.500, 0.246) [2 per cell]



[13]
Computed, not measured: a geometry-optimized LiNd3Pa3S8 structure at the PBE-GGA level of DFT.

Calculated values
**E_tot**: -104.13 eV/f.u.
**Calculated volume**: 1050.3 Å³/cell
**Energy relative to the elements, uncorrected**: -26.4 eV per formula unit

a = 7.8551 Å, b = 7.8551 Å, c = 19.6548 Å
α = 90.00°, β = 90.00°, γ = 120.00°
Space group R-3m (No. 166, hexagonal axes)
One atom of each set of equivalent atoms:
Li (0.0000, 0.0000, 0.0000) [3 per cell]
Nd (0.0000, 0.5000, 0.5000) [9 per cell]
Pa (0.0000, 0.5000, 0.0000) [9 per cell]
S (0.0000, 0.0000, 0.2530) [6 per cell]
S (0.0018, 0.5009, 0.7448) [18 per cell]



[14]
Computed, not measured: a geometry-optimized LiNd2PaS4 structure at the PBE-GGA level of DFT.

Calculated values
**E_tot**: -51.68 eV/f.u.
**Calculated volume**: 175.3 Å³/cell
**Energy relative to the elements, uncorrected**: -14.2 eV per formula unit

a = 6.826 Å, b = 3.956 Å, c = 6.877 Å
α = 90.00°, β = 109.29°, γ = 90.00°
Space group P2/m (No. 10)
One atom of each set of equivalent atoms:
Li (0.000, 0.000, 0.000) [1 per cell]
Nd (0.500, 0.000, 0.500) [1 per cell]
Nd (0.500, 0.500, 0.000) [1 per cell]
Pa (0.000, 0.500, 0.500) [1 per cell]
S (0.229, 0.500, 0.242) [2 per cell]
S (0.232, 0.000, 0.750) [2 per cell]



[15]
Computed, not measured: a geometry-optimized LiNd2PaS5 structure at the PBE-GGA level of DFT.

Calculated values
**E_tot**: -57.42 eV/f.u.
**Calculated volume**: 788.2 Å³/cell
**Energy relative to the elements, uncorrected**: -15.8 eV per formula unit

a = 3.936 Å, b = 16.595 Å, c = 12.066 Å
α = 90.00°, β = 90.00°, γ = 90.00°
Space group Cmc2_1 (No. 36)
One atom of each set of equivalent atoms:
Li (0.000, 0.015, 0.000) [4 per cell]
Nd (0.000, 0.373, 0.826) [4 per cell]
Nd (0.000, 0.391, 0.217) [4 per cell]
Pa (0.000, 0.301, 0.533) [4 per cell]
S (0.000, 0.002, 0.308) [4 per cell]
S (0.000, 0.137, 0.528) [4 per cell]
S (0.000, 0.189, 0.874) [4 per cell]
S (0.000, 0.211, 0.191) [4 per cell]
S (0.000, 0.452, 0.593) [4 per cell]



[16]
Computed, not measured: a geometry-optimized Li2NdPaS4 structure at the PBE-GGA level of DFT.

Calculated values
**E_tot**: -47.42 eV/f.u.
**Calculated volume**: 169.4 Å³/cell
**Energy relative to the elements, uncorrected**: -12.8 eV per formula unit

a = 6.661 Å, b = 3.929 Å, c = 6.889 Å
α = 90.00°, β = 110.04°, γ = 90.00°
Space group P2/m (No. 10)
One atom of each set of equivalent atoms:
Li (0.000, 0.000, 0.000) [1 per cell]
Li (0.000, 0.500, 0.500) [1 per cell]
Nd (0.500, 0.000, 0.500) [1 per cell]
Pa (0.500, 0.500, 0.000) [1 per cell]
S (0.239, 0.500, 0.234) [2 per cell]
S (0.241, 0.000, 0.755) [2 per cell]



[17]
Computed, not measured: a geometry-optimized Li4Nd3PaSe8 structure at the PBE-GGA level of DFT.

Calculated values
**E_tot**: -84.15 eV/f.u.
**Calculated volume**: 1178.1 Å³/cell
**Energy relative to the elements, uncorrected**: -24.8 eV per formula unit

a = 8.3229 Å, b = 8.3229 Å, c = 19.6397 Å
α = 90.00°, β = 90.00°, γ = 120.00°
Space group R-3m (No. 166, hexagonal axes)
One atom of each set of equivalent atoms:
Li (0.0000, 0.0000, 0.0000) [3 per cell]
Li (0.0000, 0.5000, 0.0000) [9 per cell]
Nd (0.0000, 0.5000, 0.5000) [9 per cell]
Pa (0.0000, 0.0000, 0.5000) [3 per cell]
Se (0.0000, 0.0000, 0.2545) [6 per cell]
Se (0.0088, 0.5044, 0.2536) [18 per cell]



[18]
Computed, not measured: a geometry-optimized LiNd2PaSe4 structure at the PBE-GGA level of DFT.

Calculated values
**E_tot**: -47.54 eV/f.u.
**Calculated volume**: 199.0 Å³/cell
**Energy relative to the elements, uncorrected**: -12.7 eV per formula unit

a = 7.126 Å, b = 4.101 Å, c = 7.202 Å
α = 90.00°, β = 108.99°, γ = 90.00°
Space group P2/m (No. 10)
One atom of each set of equivalent atoms:
Li (0.000, 0.000, 0.000) [1 per cell]
Nd (0.500, 0.000, 0.500) [1 per cell]
Nd (0.500, 0.500, 0.000) [1 per cell]
Pa (0.000, 0.500, 0.500) [1 per cell]
Se (0.231, 0.500, 0.240) [2 per cell]
Se (0.234, 0.000, 0.753) [2 per cell]



[19]
Computed, not measured: a geometry-optimized Li3Nd3PaSe8 structure at the PBE-GGA level of DFT.

Calculated values
**E_tot**: -81.31 eV/f.u.
**Calculated volume**: 1201.0 Å³/cell
**Energy relative to the elements, uncorrected**: -23.9 eV per formula unit

a = 8.4346 Å, b = 8.4346 Å, c = 19.4943 Å
α = 90.00°, β = 90.00°, γ = 120.00°
Space group R-3m (No. 166, hexagonal axes)
One atom of each set of equivalent atoms:
Li (0.0000, 0.5000, 0.0000) [9 per cell]
Nd (0.0000, 0.5000, 0.5000) [9 per cell]
Pa (0.0000, 0.0000, 0.5000) [3 per cell]
Se (0.0000, 0.0000, 0.2535) [6 per cell]
Se (0.0129, 0.5064, 0.2505) [18 per cell]



[20]
Computed, not measured: a geometry-optimized Li3Nd2PaSe6 structure at the PBE-GGA level of DFT.

Calculated values
**E_tot**: -63.92 eV/f.u.
**Calculated volume**: 582.7 Å³/cell
**Energy relative to the elements, uncorrected**: -18.2 eV per formula unit

a = 7.161 Å, b = 12.406 Å, c = 6.982 Å
α = 90.00°, β = 110.05°, γ = 90.00°
Space group C2/m (No. 12)
One atom of each set of equivalent atoms:
Li (0.000, 0.000, 0.000) [2 per cell]
Li (0.000, 0.334, 0.000) [4 per cell]
Nd (0.000, 0.167, 0.500) [4 per cell]
Pa (0.000, 0.500, 0.500) [2 per cell]
Se (0.236, 0.500, 0.240) [4 per cell]
Se (0.249, 0.339, 0.764) [8 per cell]